This record from the Alexandria database describes a geometry-optimized MnH2ClO2 structure. The functional is GGA+U. Values from VASP.

Values from the calculation:
As for the final energy: -5.1461 eV per atom. Its symmetry is P2_1/m, No. 11. The calculation puts the magnetization at 8.0 μB per cell.

Cell and atoms, written as Quantum ESPRESSO input:
```
&SYSTEM
  ibrav = 0, nat = 12, ntyp = 4
/
ATOMIC_SPECIES
Mn 54.94 Mn.upf
H 1.01 H.upf
Cl 35.45 Cl.upf
O 16.00 O.upf
ATOMIC_POSITIONS crystal
Mn 0.213 0.250 0.030
Mn 0.787 0.750 0.970
H 0.012 0.250 0.281
H 0.089 0.750 0.288
H 0.911 0.250 0.712
H 0.988 0.750 0.719
Cl 0.484 0.250 0.804
Cl 0.516 0.750 0.196
O 0.041 0.002 0.226
O 0.041 0.498 0.226
O 0.959 0.502 0.774
O 0.959 0.998 0.774
CELL_PARAMETERS angstrom
5.884 0.000 0.000
0.000 4.542 0.000
-1.922 0.000 5.929
```